K3CrI: relaxed, PBE-GGA.

Output
The total moment is 5.7 μB per formula unit. Its formation energy from raw total energies is 2.265 kcal/mol of atoms. The calculation puts the density of states at the Fermi level at 2.5 states/eV/cell. As for the crystal system: cubic. As for the total energy: -2.795 eV per atom. Its energy relative to the lowest polymorph listed for this composition is 0 meV/atom.

Cell: 6.663 6.663 6.663 Å, 90.00 90.00 90.00°
Space group Pm-3m (No. 221)
Symmetry-distinct sites (fractional):
K1 0.000 0.000 0.500 [3 per cell]
Cr1 0.500 0.500 0.500 [1 per cell]
I1 0.000 0.000 0.000 [1 per cell]

=====

Li2AgSBr: relaxed, PBE-GGA.

Output
The total moment is 0.0 μB per formula unit. Its formation energy from raw total energies is -20.710 kcal/mol of atoms. As for the crystal system: tetragonal. As for the total energy: -3.394 eV per atom.

Cell: 4.754 4.754 4.824 Å, 90.00 90.00 90.00°
Space group P4/mmm (No. 123)
Symmetry-distinct sites (fractional):
Li1 0.000 0.500 0.000 [2 per cell]
Ag1 0.000 0.000 0.500 [1 per cell]
S1 0.000 0.000 0.000 [1 per cell]
Br1 0.500 0.500 0.500 [1 per cell]

=====

NaMgPbCl6: relaxed, PBE-GGA.

Output
The total moment is 0.4 μB per formula unit. Its formation energy from raw total energies is -31.206 kcal/mol of atoms. The calculation puts the density of states at the Fermi level at 12.4 states/eV/cell. As for the crystal system: trigonal. As for the total energy: -3.320 eV per atom.

Cell: 6.7547 6.7547 12.5725 Å, 90.00 90.00 120.00°
Space group P-31c (No. 163)
Symmetry-distinct sites (fractional):
Na1 0.0000 0.0000 0.0000 [2 per cell]
Mg1 0.3333 0.6667 0.2500 [2 per cell]
Pb1 0.3333 0.6667 0.7500 [2 per cell]
Cl1 0.0250 0.3685 0.1320 [12 per cell]

=====

La3Pm4Pr3: relaxed, PBE-GGA.

Output
The energy of formation from the pure elements comes out at 0.092 eV per atom. The total moment is 0.0 μB per formula unit. The calculation puts the density of states at the Fermi level at 25.6 states/eV/cell. As for the crystal system: orthorhombic. As for the total energy: -4.720 eV per atom.

Cell: 3.795 13.927 13.891 Å, 90.00 90.00 90.00°
Space group Amm2 (No. 38)
Symmetry-distinct sites (fractional):
La1 0.000 0.000 0.000 [2 per cell]
La2 0.500 0.249 0.577 [4 per cell]
Pm1 0.500 0.000 0.201 [2 per cell]
Pm2 0.500 0.000 0.452 [2 per cell]
Pm3 0.500 0.126 0.826 [4 per cell]
Pr1 0.000 0.000 0.654 [2 per cell]
Pr2 0.000 0.173 0.327 [4 per cell]

=====

Pm5HoAl4: relaxed, PBE-GGA.

Output
The energy of formation from the pure elements comes out at -0.273 eV per atom. The total moment is 0.0 μB per formula unit. The calculation puts the density of states at the Fermi level at 7.3 states/eV/cell. As for the crystal system: tetragonal. As for the total energy: -4.603 eV per atom.

Cell: 3.666 3.666 20.082 Å, 90.00 90.00 90.00°
Space group P4/mmm (No. 123)
Symmetry-distinct sites (fractional):
Pm1 0.000 0.000 0.000 [1 per cell]
Pm2 0.000 0.000 0.188 [2 per cell]
Pm3 0.000 0.000 0.375 [2 per cell]
Ho1 0.500 0.500 0.500 [1 per cell]
Al1 0.500 0.500 0.094 [2 per cell]
Al2 0.500 0.500 0.283 [2 per cell]

=====

TbCuSi2Rh: relaxed, PBE-GGA.

Output
The total moment is 0.0 μB per formula unit. Its formation energy from raw total energies is -18.743 kcal/mol of atoms. The calculation puts the density of states at the Fermi level at 5.3 states/eV/cell. As for the crystal system: tetragonal. As for the total energy: -6.198 eV per atom.

Cell: 4.053 4.053 9.944 Å, 90.00 90.00 90.00°
Space group I-4m2 (No. 119)
Symmetry-distinct sites (fractional):
Tb1 0.000 0.000 0.000 [2 per cell]
Cu1 0.000 0.500 0.750 [2 per cell]
Si1 0.000 0.000 0.381 [4 per cell]
Rh1 0.000 0.500 0.250 [2 per cell]